## Ba2AcAgO5 (GGA-PBE)

Data for a relaxed structure of Ba2AcAgO5.

SG = P4/mbm
Magnetization = 0.00 Bohr magnetons per cell
E_tot = -106.32 eV for the cell shown

Lattice parameters (Å, degrees): 6.447 6.977 6.977 90.00 90.00 90.00
Fractional coordinates of all 18 atoms:
O: 0.797 0.344 0.156
Ac: 0.000 0.500 0.500
Ag: 0.000 0.000 0.500
O: 0.500 0.000 0.000
Ba: 0.500 0.831 0.669
O: 0.203 0.656 0.844
O: 0.203 0.844 0.344
O: 0.500 0.500 0.500
Ba: 0.500 0.669 0.169
Ag: 0.000 0.500 0.000
O: 0.203 0.156 0.656
O: 0.203 0.344 0.156
O: 0.797 0.656 0.844
O: 0.797 0.844 0.344
Ac: 0.000 0.000 0.000
Ba: 0.500 0.331 0.831
Ba: 0.500 0.169 0.331
O: 0.797 0.156 0.656